[1]
DFT (PBE-GGA) results for a relaxed structure of SmBeSi2Ni4.

POSCAR file:
```
SmBeSi2Ni4
1.0
-0.978 2.822 2.488
-2.216 -0.813 3.089
5.604 -0.877 6.235
Ni Sm Be Si
4 1 1 2
Cartesian
-0.444 1.372 7.380 Ni
-0.547 0.973 4.756 Ni
2.855 -0.239 4.431 Ni
2.958 0.160 7.056 Ni
0.000 0.000 0.000 Sm
1.205 0.566 5.906 Be
0.868 0.222 3.127 Si
1.543 0.911 8.684 Si
```

Summary:
Symmetry   R-3m
Energy relative to the elements, uncorrected   -4.837 eV/f.u.
Energy   -47.3 eV for the cell shown
Fermi-level density of states   0.4428 states/eV per atom


[2]
DFT (PBE-GGA) results for a relaxed structure of CsNa2BeAl.

POSCAR file:
```
CsNa2BeAl
1.0
6.462 0.000 0.000
0.000 5.755 0.000
0.000 0.000 6.462
Be Cs Na Al
1 1 2 1
Cartesian
0.000 2.878 0.000 Be
0.000 0.000 0.000 Cs
0.000 0.000 3.231 Na
3.231 0.000 0.000 Na
3.231 2.878 3.231 Al
```

Summary:
Symmetry   P4/mmm
Energy of formation from the pure elements   1.388 eV per atom
Energy   -4.0 eV for the cell shown
Fermi-level density of states   0.7679 states/eV per atom


[3]
DFT (PBE-GGA) results for a relaxed structure of NdDyErTh.

POSCAR file:
```
NdDyErTh
1.0
5.692 0.000 0.000
2.846 4.929 0.000
2.846 1.643 4.647
Nd Er Th Dy
1 1 1 1
Cartesian
2.846 1.643 1.162 Nd
5.692 3.286 2.324 Er
8.537 4.929 3.485 Th
0.000 0.000 0.000 Dy
```

Summary:
Symmetry   F-43m
Energy of formation from the pure elements   0.137 eV per atom
Energy   -20.8 eV for the cell shown
Polymorph energy (0 for the lowest one)   123 meV per atom
Fermi-level density of states   2.1275 states/eV per atom


[4]
DFT (PBE-GGA) results for a relaxed structure of Mn2Ga2Pt3.

POSCAR file:
```
Mn2Ga2Pt3
1.0
4.174 -0.002 -1.163
-2.251 3.705 -0.003
-0.170 -0.103 7.436
Mn Pt Ga
2 3 2
Cartesian
1.028 3.159 3.680 Mn
0.725 0.441 2.590 Mn
1.422 0.864 5.084 Pt
0.331 2.736 1.187 Pt
0.000 0.000 0.000 Pt
-0.594 2.176 5.920 Ga
2.347 1.424 0.350 Ga
```

Summary:
Symmetry   C2/m
Energy of formation from the pure elements   -0.410 eV per atom
Energy   -45.4 eV for the cell shown
Fermi-level density of states   0.3388 states/eV per atom


[5]
DFT (PBE-GGA) results for a relaxed structure of EuZnInPd.

POSCAR file:
```
EuZnInPd
1.0
4.941 0.000 0.000
2.471 4.279 0.000
2.471 1.426 4.034
Zn Pd In Eu
1 1 1 1
Cartesian
4.941 2.853 2.017 Zn
0.000 0.000 0.000 Pd
7.412 4.279 3.026 In
2.471 1.426 1.009 Eu
```

Summary:
Symmetry   F-43m
Energy of formation from the pure elements   -0.423 eV per atom
Energy   -21.2 eV for the cell shown
Fermi-level density of states   2.5979 states/eV per atom


[6]
DFT (PBE-GGA) results for a relaxed structure of In4GeAu5.

POSCAR file:
```
In4GeAu5
1.0
4.353 -0.314 3.404
2.817 7.944 -0.770
2.346 -2.524 8.936
Ge Au In
1 5 4
Cartesian
3.911 -0.347 3.890 Ge
4.567 -2.569 10.618 Au
4.714 2.149 3.570 Au
2.375 -0.420 6.191 Au
4.906 2.888 7.855 Au
7.297 5.504 5.223 Au
7.361 2.115 9.223 In
2.278 3.047 2.216 In
4.472 5.005 4.054 In
5.013 0.056 7.448 In
```

Summary:
Symmetry   P1
Energy of formation from the pure elements   -0.126 eV per atom
Energy   -33.2 eV for the cell shown
Fermi-level density of states   0.2990 states/eV per atom


[7]
DFT (PBE-GGA) results for a relaxed structure of Tl5Pd2Pb4.

POSCAR file:
```
Tl5Pd2Pb4
1.0
-1.957 1.996 2.342
3.740 -4.057 6.583
6.748 7.314 -0.594
Tl Pb Pd
5 4 2
Cartesian
4.202 0.280 3.273 Tl
6.286 2.977 2.716 Tl
1.518 0.395 0.932 Tl
1.870 -2.028 3.291 Tl
8.970 2.862 5.057 Tl
2.839 3.534 2.199 Pb
5.692 1.719 6.131 Pb
5.427 6.374 1.942 Pb
3.103 -1.121 6.388 Pb
4.554 4.444 0.018 Pd
5.934 -1.187 5.971 Pd
```

Summary:
Symmetry   P2/m
Energy of formation from the pure elements   -0.093 eV per atom
Energy   -38.1 eV for the cell shown
Fermi-level density of states   0.4491 states/eV per atom